# Cs2NaHg2I6 PBE relaxed
data_Cs2NaHg2I6
_cell_length_a 14.784
_cell_length_b 8.797
_cell_length_c 9.711
_cell_angle_alpha 90.00
_cell_angle_beta 119.26
_cell_angle_gamma 90.00
_symmetry_space_group_name_H-M 'C 1 2/m 1'
_symmetry_Int_Tables_number 12
loop_
_symmetry_equiv_pos_as_xyz
'x,y,z'
'-x,-y,-z'
'-x,y,-z'
'x,-y,z'
'x+1/2,y+1/2,z'
'-x+1/2,-y+1/2,-z'
'-x+1/2,y+1/2,-z'
'x+1/2,-y+1/2,z'
loop_
_atom_site_label
_atom_site_fract_x
_atom_site_fract_y
_atom_site_fract_z
Cs1 0.219 0.000 0.206
Na1 0.000 0.000 0.500
Hg1 0.034 0.500 0.165
I1 0.059 0.224 0.801
I2 0.247 0.000 0.621
# ρ, Mg/m³: 4.37
# ΔE_f (raw), eV/atom: -0.87
# Total magnetization, μB/f.u.: 0.00


# LiLaZn4 PBE relaxed
data_LiLaZn4
_cell_length_a 9.792
_cell_length_b 9.792
_cell_length_c 10.076
_cell_angle_alpha 90.00
_cell_angle_beta 90.00
_cell_angle_gamma 90.00
_symmetry_space_group_name_H-M 'I 4/m m m'
_symmetry_Int_Tables_number 139
_symmetry_space_group_name_Hall '-I 4 2'
loop_
_atom_site_label
_atom_site_fract_x
_atom_site_fract_y
_atom_site_fract_z
Li1 0.000 0.195 0.000
La1 0.000 0.000 0.352
La2 0.000 0.500 0.250
Zn1 0.124 0.304 0.500
Zn2 0.179 0.179 0.182
# ρ, Mg/m³: 5.60
# ΔH_f (0 K), eV per formula unit: -0.7
# Total magnetization, μB/f.u.: 0.00


# GaPBr PBE relaxed
data_GaPBr
_cell_length_a 3.531
_cell_length_b 6.842
_cell_length_c 8.283
_cell_angle_alpha 106.65
_cell_angle_beta 92.84
_cell_angle_gamma 104.87
_symmetry_space_group_name_H-M 'P -1'
_symmetry_Int_Tables_number 2
loop_
_symmetry_equiv_pos_as_xyz
'x,y,z'
'-x,-y,-z'
loop_
_atom_site_label
_atom_site_fract_x
_atom_site_fract_y
_atom_site_fract_z
Ga1 0.103 0.180 0.110
P1 0.277 0.533 0.095
Br1 0.368 0.813 0.670
# ρ, Mg/m³: 3.27
# ΔE_f (raw), eV/atom: -0.36
# Total magnetization, μB/f.u.: 0.00


Which of these has the highest ρ?
LiLaZn4


total magnetization of number 1 (Cs2NaHg2I6)?
0.00 μB/f.u.